(1)
6
Lattice="-2.9725 -2.7598 -3.7566 2.1313 -1.0332 -4.9954 1.4088 -5.1620 -1.3905" Properties=species:S:1:pos:R:3 comment="AuCl2 meta-GGA SCAN PBEsol geometry" formation_energy_uncorrected_ev_per_atom=0.9915 volume_a3_per_fu=60 pbc="T T T"
Au 0.2838 -4.4775 -5.0713
Au 0.4257 -6.7162 -7.6070
Cl 0.0709 -1.1194 -1.2678
Cl 0.7753 -3.7004 -1.9631
Cl 1.1366 -1.6360 -3.7656
Cl -1.4153 -2.4993 -3.1461

(2)
4
Lattice="3.5308 0.0000 0.0000 0.0000 4.6584 0.0000 -1.7654 -2.3292 5.9488" Properties=species:S:1:pos:R:3 comment="YSb2Ir meta-GGA SCAN PBEsol geometry" formation_energy_uncorrected_ev_per_atom=-0.4792 volume_a3_per_fu=98 pbc="T T T"
Ir 0.0000 2.3292 0.0000
Sb 1.7654 2.3292 2.0893
Sb 0.0000 0.0000 3.8595
Y 1.7654 0.0000 0.0000

(3)
5
Lattice="-1.6476 1.4432 2.9752 0.7941 -3.0542 1.9212 3.2100 1.4962 1.0519" Properties=species:S:1:pos:R:3 comment="LiOsF3 meta-GGA SCAN PBEsol geometry" formation_energy_uncorrected_ev_per_atom=-1.0784 volume_a3_per_fu=50 pbc="T T T"
Li 0.0000 0.0000 0.0000
Os 1.1782 -0.0574 2.9741
F 0.3970 -1.5271 0.9606
F 1.6050 0.7481 0.5259
F -0.8238 0.7216 1.4876

(4)
4
Lattice="2.6636 0.0000 0.0000 0.0000 3.8229 0.0000 0.0000 0.0000 5.1992" Properties=species:S:1:pos:R:3 comment="LiCuOs2 meta-GGA SCAN PBEsol geometry" formation_enthalpy_0k_ev_per_atom=0.16 polymorph_energy_mev_per_atom=0.0 volume_a3_per_fu=53 pbc="T T T"
Cu 0.0000 0.0000 2.7229
Li 1.3318 1.9115 3.7781
Os 0.0000 0.0000 0.1283
Os 1.3318 1.9115 1.1694

(5)
38
Lattice="4.2089 0.0000 0.0000 0.0000 12.4950 0.0000 0.0000 0.0000 12.4950" Properties=species:S:1:pos:R:3 comment="Ho5Si10Ir4 meta-GGA SCAN PBEsol geometry" formation_energy_uncorrected_ev_per_atom=-0.9872 volume_a3_per_fu=329 pbc="T T T"
Ho 0.0000 6.2475 6.2475
Ho 0.0000 0.0000 0.0000
Ho 2.1044 8.4364 2.1889
Ho 2.1044 4.0586 10.3061
Ho 2.1044 2.1889 4.0586
Ho 2.1044 10.3061 8.4364
Ho 2.1044 11.0573 4.8098
Ho 2.1044 1.4377 7.6852
Ho 2.1044 4.8098 1.4377
Ho 2.1044 7.6852 11.0573
Si 0.0000 7.0764 0.8289
Si 0.0000 5.4186 11.6661
Si 0.0000 0.8289 5.4186
Si 0.0000 11.6661 7.0764
Si 0.0000 8.2976 8.7488
Si 0.0000 4.1974 3.7462
Si 0.0000 2.0501 9.9937
Si 0.0000 10.4449 2.5013
Si 0.0000 3.7462 8.2976
Si 0.0000 8.7488 4.1974
Si 0.0000 2.5013 2.0501
Si 0.0000 9.9937 10.4449
Si 2.1044 8.2136 6.2533
Si 2.1044 4.2814 6.2417
Si 2.1044 1.9661 12.4892
Si 2.1044 10.5289 0.0058
Si 2.1044 6.2417 8.2136
Si 2.1044 6.2533 4.2814
Si 2.1044 0.0058 1.9661
Si 2.1044 12.4892 10.5289
Ir 0.0000 9.3157 6.4951
Ir 0.0000 3.1793 5.9999
Ir 0.0000 3.0682 12.2474
Ir 0.0000 9.4268 0.2476
Ir 0.0000 5.9999 9.3157
Ir 0.0000 6.4951 3.1793
Ir 0.0000 0.2476 3.0682
Ir 0.0000 12.2474 9.4268

(6)
4
Lattice="5.0544 0.0000 0.0000 2.5272 4.3772 0.0000 2.5272 1.4591 4.1269" Properties=species:S:1:pos:R:3 comment="LiNdHg2 meta-GGA SCAN PBEsol geometry" formation_enthalpy_0k_ev_per_atom=-0.62 volume_a3_per_fu=91 pbc="T T T"
Nd 0.0000 0.0000 0.0000
Hg 2.5272 1.4591 1.0317
Hg 7.5816 4.3772 3.0952
Li 5.0544 2.9182 2.0635

(7)
28
Lattice="7.1523 0.0000 0.0000 -3.5761 6.1941 0.0000 0.0000 0.0000 17.8958" Properties=species:S:1:pos:R:3 comment="Cs3Cr2Cl9 meta-GGA SCAN PBEsol geometry" formation_energy_uncorrected_ev_per_atom=-1.9040 volume_a3_per_fu=396 pbc="T T T"
Cs 0.0000 0.0000 4.4740
Cs 0.0000 0.0000 13.4219
Cs 0.0000 4.1294 1.2928
Cs 3.5761 2.0647 16.6030
Cs 3.5761 2.0647 10.2407
Cs 0.0000 4.1294 7.6551
Cr 0.0000 4.1294 14.9793
Cr 3.5761 2.0647 2.9165
Cr 3.5761 2.0647 6.0314
Cr 0.0000 4.1294 11.8644
Cl 1.9901 2.9804 4.4740
Cl 5.1622 2.9804 4.4740
Cl 3.5761 0.2333 4.4740
Cl 1.5860 3.2137 13.4219
Cl -1.5860 3.2137 13.4219
Cl 0.0000 5.9608 13.4219
Cl 5.2278 1.1111 1.6900
Cl 1.9245 1.1111 1.6900
Cl 3.5761 3.9719 1.6900
Cl -1.6517 5.0830 16.2058
Cl 1.6517 5.0830 16.2058
Cl 0.0000 2.2222 16.2058
Cl -1.6517 5.0830 10.6379
Cl 1.6517 5.0830 10.6379
Cl 0.0000 2.2222 10.6379
Cl 5.2278 1.1111 7.2579
Cl 1.9245 1.1111 7.2579
Cl 3.5761 3.9719 7.2579

(8)
4
Lattice="4.5578 0.0000 0.0000 2.2789 3.9471 0.0000 2.2789 1.3157 3.7214" Properties=species:S:1:pos:R:3 comment="PAu3 meta-GGA SCAN PBEsol geometry" formation_enthalpy_0k_ev_per_atom=0.43 polymorph_energy_mev_per_atom=459.5 volume_a3_per_fu=67 pbc="T T T"
Au 2.2789 1.3157 0.9303
Au 0.0000 0.0000 0.0000
Au 6.8366 3.9471 2.7910
P 4.5578 2.6314 1.8607

(9)
5
Lattice="5.6149 0.0000 0.0000 0.0000 5.6149 0.0000 0.0000 0.0000 5.6590" Properties=species:S:1:pos:R:3 comment="YSbTe2W meta-GGA SCAN PBEsol geometry" formation_energy_uncorrected_ev_per_atom=1.2574 polymorph_energy_mev_per_atom=877.5 volume_a3_per_fu=178 pbc="T T T"
Y 0.0000 0.0000 0.0000
Sb 0.0000 0.0000 2.8295
Te 0.0000 2.8074 0.0000
Te 2.8074 0.0000 0.0000
W 2.8074 2.8074 2.8295

(10)
5
Lattice="3.9026 0.0000 0.0000 0.0000 3.9026 0.0000 0.0000 0.0000 4.1615" Properties=species:S:1:pos:R:3 comment="TeIrNO2 meta-GGA SCAN PBEsol geometry" formation_energy_uncorrected_ev_per_atom=1.1119 volume_a3_per_fu=63 pbc="T T T"
Ir 1.9513 1.9513 2.0807
Te 0.0000 0.0000 0.0000
O 0.0000 1.9513 0.0000
O 1.9513 0.0000 0.0000
N 0.0000 0.0000 2.0807

(11)
20
Lattice="5.9972 0.0000 0.0000 2.9986 7.7750 -0.0052 2.9986 1.1335 7.6919" Properties=species:S:1:pos:R:3 comment="Sm2Ge5Ir3 meta-GGA SCAN PBEsol geometry" formation_enthalpy_0k_ev_per_atom=-0.92 volume_a3_per_fu=179 pbc="T T T"
Sm 5.9972 7.1512 3.1149
Sm 5.9972 1.7572 4.5718
Sm 2.9986 4.7799 1.0688
Sm 8.9958 4.1286 6.6180
Ge 7.4965 4.4542 3.8434
Ge 4.4979 4.4542 3.8434
Ge 4.4979 1.9925 1.7192
Ge 10.4951 6.9160 5.9675
Ge 7.4965 6.9160 5.9675
Ge 1.4993 1.9925 1.7192
Ge 2.9986 1.3217 5.6884
Ge 8.9958 7.5868 1.9983
Ge 5.9972 3.0878 7.2123
Ge 5.9972 5.8206 0.4744
Ir 5.9972 4.9839 5.7808
Ir 5.9972 3.9246 1.9059
Ir 4.4979 0.0000 0.0000
Ir 1.4993 0.0000 0.0000
Ir 2.9986 2.4601 3.6031
Ir 8.9958 6.4484 4.0836

(12)
5
Lattice="3.8081 0.0000 0.0000 1.9041 3.2979 0.0000 1.9041 1.0993 15.9687" Properties=species:S:1:pos:R:3 comment="Ba2La3 meta-GGA SCAN PBEsol geometry" formation_enthalpy_0k_ev_per_atom=0.17 volume_a3_per_fu=201 pbc="T T T"
Ba 3.8081 2.1986 3.2545
Ba 3.8081 2.1986 12.7142
La 0.0000 0.0000 0.0000
La 1.9041 1.0993 6.5732
La 5.7122 3.2979 9.3955

(13)
4
Lattice="3.1003 0.0000 0.0000 0.0000 4.6451 0.0000 -1.5501 -2.3225 4.6564" Properties=species:S:1:pos:R:3 comment="ScTeOs2 meta-GGA SCAN PBEsol geometry" formation_energy_uncorrected_ev_per_atom=0.2461 volume_a3_per_fu=67 pbc="T T T"
Os 1.5502 2.3225 2.4707
Os 0.0000 0.0000 2.1857
Sc 0.0000 2.3225 0.0000
Te 1.5501 0.0000 0.0000

(14)
24
Lattice="-4.3841 -2.4617 -1.4728 4.4914 -2.6667 0.4064 -3.5310 -3.4629 16.2992" Properties=species:S:1:pos:R:3 comment="ScRe2 meta-GGA SCAN PBEsol geometry" formation_enthalpy_0k_ev_per_atom=-0.45 volume_a3_per_fu=51 pbc="T T T"
Re -1.5479 -5.6197 14.0009
Re -1.8758 -2.9716 1.2319
Re -2.7409 -3.8199 5.2249
Re -0.6829 -4.7713 10.0079
Re 2.2457 -1.3333 0.2032
Re -2.1920 -1.2308 -0.7364
Re 0.0537 -2.5642 -0.5332
Re 0.4802 -3.0648 8.3528
Re -3.9575 -2.9623 7.4132
Re -1.7119 -4.2956 7.6164
Re -1.8519 -6.5026 11.5672
Re -1.9073 -3.8531 12.1181
Re 0.4131 -5.2308 12.3280
Re -1.5718 -2.0886 3.6657
Re -1.5164 -4.7382 3.1148
Re -3.8368 -3.3604 2.9048
Sc -3.2022 -3.1404 14.7812
Sc -0.3288 -0.3225 1.5179
Sc -1.4367 -1.4089 6.6316
Sc -2.0943 -2.0539 9.6675
Sc 0.9820 -3.1386 2.3228
Sc -4.4057 -5.4527 12.9101
Sc -3.7419 -4.8017 9.8460
Sc 0.3182 -3.7896 5.3869

(15)
5
Lattice="-3.7379 3.5581 1.9344 0.6968 -2.0281 5.0769 4.1338 3.8212 0.9591" Properties=species:S:1:pos:R:3 comment="KNa2MoSe meta-GGA SCAN PBEsol geometry" formation_energy_uncorrected_ev_per_atom=1.3206 volume_a3_per_fu=173 pbc="T T T"
Na 0.3484 -1.0141 2.5384
Na -1.8689 1.7790 0.9672
Mo 2.0669 1.9106 0.4796
K 0.0000 0.0000 0.0000
Se 0.5464 2.6756 3.9852

(16)
5
Lattice="5.2370 0.0000 0.0000 0.0000 5.2370 0.0000 0.0000 0.0000 6.2603" Properties=species:S:1:pos:R:3 comment="KAlSb2I meta-GGA SCAN PBEsol geometry" formation_energy_uncorrected_ev_per_atom=-0.0860 volume_a3_per_fu=172 pbc="T T T"
I 0.0000 0.0000 3.1302
Sb 0.0000 2.6185 0.0000
Sb 2.6185 0.0000 0.0000
K 2.6185 2.6185 3.1302
Al 0.0000 0.0000 0.0000

(17)
5
Lattice="-2.4437 -1.0067 3.1212 0.0084 -4.5305 -1.4547 3.8156 -0.8628 2.7090" Properties=species:S:1:pos:R:3 comment="BeNb2OsRh meta-GGA SCAN PBEsol geometry" formation_enthalpy_0k_ev_per_atom=0.94 volume_a3_per_fu=93 pbc="T T T"
Rh 0.6902 -3.2000 2.1878
Nb 1.9078 -0.4314 1.3545
Nb 0.0042 -2.2653 -0.7274
Os 0.0000 0.0000 0.0000
Be -1.2218 -0.5034 1.5606

(18)
8
Lattice="4.1757 0.0000 0.0000 0.0000 4.6089 0.0000 0.0000 0.0000 5.2537" Properties=species:S:1:pos:R:3 comment="NiRu3 meta-GGA SCAN PBEsol geometry" formation_enthalpy_0k_ev_per_atom=0.10 volume_a3_per_fu=51 pbc="T T T"
Ni 0.0000 3.0411 0.0000
Ni 2.0878 1.5678 2.6269
Ru 2.0878 1.5869 0.0000
Ru 0.0000 0.7707 3.9122
Ru 2.0878 3.8382 3.9684
Ru 0.0000 3.0221 2.6269
Ru 0.0000 0.7707 1.3415
Ru 2.0878 3.8382 1.2854

(19)
4
Lattice="3.0933 0.0000 0.0000 0.0000 3.0933 0.0000 -1.5467 -1.5467 3.9610" Properties=species:S:1:pos:R:3 comment="Cr3C meta-GGA SCAN PBEsol geometry" formation_enthalpy_0k_ev_per_atom=0.63 polymorph_energy_mev_per_atom=686.1 volume_a3_per_fu=38 pbc="T T T"
Cr 1.5467 0.0000 1.9805
Cr 1.5467 1.5467 0.0000
Cr 0.0000 1.5467 1.9805
C 0.0000 0.0000 0.0000

(20)
4
Lattice="3.9253 0.0000 0.0000 0.0000 5.0598 0.0000 -1.9626 -2.5299 4.0351" Properties=species:S:1:pos:R:3 comment="Zr2CdSe meta-GGA SCAN PBEsol geometry" formation_energy_uncorrected_ev_per_atom=-0.4826 polymorph_energy_mev_per_atom=0.0 volume_a3_per_fu=80 pbc="T T T"
Cd 1.9626 0.0000 0.0000
Se 0.0000 2.5299 0.0000
Zr 1.9626 2.5299 1.8142
Zr 0.0000 0.0000 2.2209

(21)
5
Lattice="3.5269 0.0000 0.0000 0.0000 3.8491 0.0000 0.0000 0.0000 3.8491" Properties=species:S:1:pos:R:3 comment="TeHRuN2 meta-GGA SCAN PBEsol geometry" dft_energy_ev_per_atom=-16.7380 volume_a3_per_fu=52 pbc="T T T"
Ru 1.7634 1.9246 1.9246
Te 1.7634 0.0000 0.0000
H 0.0000 0.0000 0.0000
N 0.0000 0.0000 1.9246
N 0.0000 1.9246 0.0000

(22)
5
Lattice="-2.8560 -1.4755 -1.5235 2.0328 -1.1755 -2.6722 0.6049 -3.0159 1.7869" Properties=species:S:1:pos:R:3 comment="NbCrH3 meta-GGA SCAN PBEsol geometry" dft_energy_ev_per_atom=-12.1731 volume_a3_per_fu=45 pbc="T T T"
Cr -0.1092 -2.8335 -1.2044
Nb 0.0000 0.0000 0.0000
H 1.0164 -0.5878 -1.3361
H 0.3025 -1.5080 0.8934
H -1.4280 -0.7377 -0.7617

(23)
5
Lattice="3.7885 0.0000 0.0000 0.0000 3.7885 0.0000 0.0000 0.0000 3.7885" Properties=species:S:1:pos:R:3 comment="BaCoH3 meta-GGA SCAN PBEsol geometry" dft_energy_ev_per_atom=-13.7995 volume_a3_per_fu=54 pbc="T T T"
H 0.0000 1.8942 0.0000
H 0.0000 0.0000 1.8942
H 1.8942 0.0000 0.0000
Co 0.0000 0.0000 0.0000
Ba 1.8942 1.8942 1.8942

(24)
4
Lattice="-0.1841 -3.7649 -1.5141 1.3660 -1.4847 3.5257 -6.2005 -0.5669 2.1635" Properties=species:S:1:pos:R:3 comment="CaMg2Cl meta-GGA SCAN PBEsol geometry" formation_energy_uncorrected_ev_per_atom=-0.5890 polymorph_energy_mev_per_atom=0.0 volume_a3_per_fu=109 pbc="T T T"
Ca -2.5093 -2.9083 2.0876
Cl -3.1003 -0.2835 1.0818
Mg 0.6830 -0.7423 1.7629
Mg -0.0920 -1.8825 -0.7570